An optimized crystal structure of Pm8TlPd2, computed with PBE-GGA.

Properties
* symmetry: C2/m
* E above lowest polymorph: 0.00 eV per formula unit
* calculated volume: 324.5 Å³ per cell

Cell: 9.1536 9.1536 8.0005 Å, 113.54 113.54 32.16°
Element x y z (fractional)
1 Pm 0.0495 0.0495 0.2602
2 Pm 0.1865 0.1865 0.7888
3 Pm 0.3173 0.3173 0.5248
4 Pm 0.4059 0.4059 0.0351
5 Pm 0.5941 0.5941 0.9649
6 Pm 0.6827 0.6827 0.4752
7 Pm 0.8135 0.8135 0.2112
8 Pm 0.9505 0.9505 0.7398
9 Tl 0.5000 0.5000 0.5000
10 Pd 0.1914 0.1914 0.1504
11 Pd 0.8086 0.8086 0.8496



An optimized crystal structure of PmTl2Pd, computed with PBE-GGA.

Properties
* symmetry: P4/mmm
* E above lowest polymorph: 0.48 eV per formula unit
* calculated volume: 98.3 Å³ per cell

Cell: 4.4734 4.4734 4.9117 Å, 90.00 90.00 90.00°
Element x y z (fractional)
1 Pm 0.0000 0.0000 0.0000
2 Tl 0.0000 0.5000 0.5000
3 Tl 0.5000 0.0000 0.5000
4 Pd 0.5000 0.5000 0.0000



An optimized crystal structure of PmTlPd6, computed with PBE-GGA.

Properties
* symmetry: Pm-3
* E above lowest polymorph: 1.56 eV per formula unit
* calculated volume: 146.2 Å³ per cell

Cell: 5.2683 5.2683 5.2683 Å, 90.00 90.00 90.00°
Element x y z (fractional)
1 Pm 0.0000 0.0000 0.0000
2 Tl 0.5000 0.5000 0.5000
3 Pd 0.0000 0.2531 0.5000
4 Pd 0.0000 0.7469 0.5000
5 Pd 0.2531 0.5000 0.0000
6 Pd 0.5000 0.0000 0.2531
7 Pd 0.5000 0.0000 0.7469
8 Pd 0.7469 0.5000 0.0000



An optimized crystal structure of PmTlPd3, computed with PBE-GGA.

Properties
* symmetry: Imma
* DFT total energy: -5.01 eV/atom
* calculated volume: 207.5 Å³ per cell

Cell: 6.7369 6.7369 6.7369 Å, 130.72 108.45 91.78°
Element x y z (fractional)
1 Pm 0.2567 0.0067 0.2500
2 Pm 0.7433 0.9933 0.7500
3 Tl 0.0000 0.5000 0.5000
4 Tl 0.5000 0.5000 0.0000
5 Pd 0.0452 0.2952 0.7500
6 Pd 0.3124 0.0000 0.8124
7 Pd 0.3124 0.5000 0.3124
8 Pd 0.6876 0.0000 0.1876
9 Pd 0.6876 0.5000 0.6876
10 Pd 0.9548 0.7048 0.2500